# 1
Compound: LiTeOs
Source: Alexandria via LeMat-Bulk
Functional: GGA-PBEsol
Structure: optimized geometry

Structure (POSCAR):
```
LiTeOs
1.0
4.264 0.000 0.000
2.132 3.693 0.000
2.132 1.231 3.482
Te Os Li
1 1 1
Cartesian
0.000 0.000 0.000
2.132 1.231 0.870
4.264 2.462 1.741
```

Properties
ΔE to the lowest computed polymorph   0 meV per atom
ΔE_f (raw)   81 kJ/mol of formula units

---

# 2
Compound: LaSc2Be
Source: Alexandria via LeMat-Bulk
Functional: GGA-PBEsol
Structure: optimized geometry

Structure (POSCAR):
```
LaSc2Be
1.0
5.016 0.000 0.000
2.508 4.344 0.000
2.508 1.448 4.096
La Sc Be
1 2 1
Cartesian
7.524 4.344 3.072
2.508 1.448 1.024
0.000 0.000 0.000
5.016 2.896 2.048
```

Properties
ΔE_f   261.9 meV per atom

---

# 3
Compound: MnIrW2
Source: Alexandria via LeMat-Bulk
Functional: GGA-PBEsol
Structure: optimized geometry

Structure (POSCAR):
```
MnIrW2
1.0
3.819 0.000 0.000
0.000 3.819 0.000
-1.909 -1.909 3.889
W Mn Ir
2 1 1
Cartesian
1.909 0.000 1.944
0.000 1.909 1.944
0.000 0.000 0.000
1.909 1.909 0.000
```

Properties
ΔE_f   -20.6 meV per atom
ΔE to the lowest computed polymorph   0 meV per atom